No. 1
This record from Alexandria via LeMat-Bulk describes an optimized crystal structure of AcPm2Nb. The functional is PBE.

## Properties
Calculated formation energy in eV/f.u.: 2.82

Unit cell a=3.469 b=3.469 c=12.339 alpha=81.92 beta=81.92 gamma=60.00
Positions (direct):
Ac 0.500 0.500 0.500
Pm 0.921 0.921 0.238
Pm 0.079 0.079 0.762
Nb 0.000 0.000 0.000

---

No. 2
This record from Alexandria via LeMat-Bulk describes an optimized crystal structure of Ac2PrNb. The functional is PBE.

## Properties
Calculated formation energy in eV/f.u.: 3.15

Unit cell a=3.552 b=3.552 c=12.712 alpha=81.97 beta=81.97 gamma=60.00
Positions (direct):
Ac 0.080 0.080 0.760
Ac 0.920 0.920 0.240
Pr 0.500 0.500 0.500
Nb 0.000 0.000 0.000

---

No. 3
This record from Alexandria via LeMat-Bulk describes an optimized crystal structure of AcPr2Nb. The functional is PBE.

## Properties
Calculated formation energy in eV/f.u.: 2.87

Unit cell a=3.490 b=3.490 c=12.485 alpha=81.97 beta=81.97 gamma=60.00
Positions (direct):
Pr 0.921 0.921 0.237
Pr 0.079 0.079 0.763
Ac 0.500 0.500 0.500
Nb 0.000 0.000 0.000

---

No. 4
This record from Alexandria via LeMat-Bulk describes an optimized crystal structure of AcPu2Nb. The functional is PBE.

## Properties
Calculated formation energy in eV/f.u.: 2.15

Unit cell a=3.377 b=3.377 c=11.729 alpha=81.72 beta=81.72 gamma=60.00
Positions (direct):
Ac 0.000 0.000 0.000
Nb 0.500 0.500 0.500
Pu 0.902 0.902 0.294
Pu 0.098 0.098 0.706

---

No. 5
This record from Alexandria via LeMat-Bulk describes an optimized crystal structure of Rb3Ac3NbS8. The functional is PBE.

## Properties
ΔE_f (raw) in meV per atom: -1621

Unit cell a=8.538 b=8.538 c=9.273 alpha=117.42 beta=90.00 gamma=120.00
Positions (direct):
S 0.794 0.023 0.317
S 0.794 0.588 0.317
S 0.771 0.977 0.683
S 0.206 0.977 0.683
S 0.206 0.412 0.683
S 0.264 0.527 0.291
S 0.229 0.023 0.317
S 0.736 0.473 0.709
Rb 0.000 0.000 0.000
Rb 0.500 0.500 0.000
Rb 0.000 0.500 0.000
Nb 0.000 0.000 0.500
Ac 0.000 0.500 0.500
Ac 0.500 0.000 0.500
Ac 0.500 0.500 0.500

---

No. 6
This record from Alexandria via LeMat-Bulk describes an optimized crystal structure of Rb2AcNbSe4. The functional is PBE.

## Properties
ΔE_f (raw) in meV per atom: -1065

Unit cell a=7.413 b=7.413 c=7.413 alpha=99.65 beta=114.60 gamma=114.60
Positions (direct):
Se 0.586 0.375 0.417
Se 0.041 0.210 0.625
Se 0.414 0.831 0.790
Se 0.959 0.583 0.169
Ac 0.500 0.250 0.750
Rb 0.500 0.750 0.250
Rb 0.000 0.000 0.000
Nb 0.000 0.500 0.500

---

No. 7
This record from Alexandria via LeMat-Bulk describes an optimized crystal structure of AcNbReSi2. The functional is PBE.

## Properties
ΔE_f (raw) in meV per atom: -446

Unit cell a=4.180 b=4.180 c=6.471 alpha=108.84 beta=108.84 gamma=90.00
Positions (direct):
Si 0.381 0.381 0.762
Si 0.619 0.619 0.238
Re 0.250 0.750 0.500
Nb 0.750 0.250 0.500
Ac 0.000 0.000 0.000

---

No. 8
This record from Alexandria via LeMat-Bulk describes an optimized crystal structure of Ac2NbRh. The functional is PBE.

## Properties
Calculated formation energy in eV/f.u.: 2.46

Unit cell a=3.936 b=3.936 c=10.241 alpha=78.92 beta=78.92 gamma=60.00
Positions (direct):
Ac 0.105 0.105 0.685
Ac 0.895 0.895 0.315
Nb 0.000 0.000 0.000
Rh 0.500 0.500 0.500

---

| no. | DOS at the Fermi energy (states/eV/cell) | size of the total moment (μB per formula unit) |
| --- | --- | --- |
| 1 | 7.9 | 0.24 |
| 2 | 7.0 | 0.01 |
| 3 | 8.0 | 0.05 |
| 4 | 15.0 | 11.93 |
| 5 | 5.6 | 1.01 |
| 6 | 2.8 | 2.01 |
| 7 | 3.0 | 0.00 |
| 8 | 3.4 | 3.68 |